# LiMn2F9 | Alexandria | PBE+U | optimized geometry
data_LiMn2F9
_chemical_formula_sum 'Li2 Mn4 F18'
_symmetry_space_group_name_H-M 'P 1'
_symmetry_Int_Tables_number 1
_symmetry_space_group_name_Hall 'P 1'
_cell_length_a 5.054
_cell_length_b 5.057
_cell_length_c 14.491
_cell_angle_alpha 95.04
_cell_angle_beta 95.03
_cell_angle_gamma 119.33
loop_
_atom_site_label
_atom_site_type_symbol
_atom_site_fract_x
_atom_site_fract_y
_atom_site_fract_z
Li1 Li 0.000 0.000 0.000
Li2 Li 0.034 0.962 0.500
Mn1 Mn 0.148 0.462 0.662
Mn2 Mn 0.262 0.587 0.853
Mn3 Mn 0.496 0.110 0.162
Mn4 Mn 0.622 0.224 0.353
F1 F 0.020 0.325 0.924
F2 F 0.094 0.711 0.593
F3 F 0.149 0.793 0.100
F4 F 0.226 0.261 0.761
F5 F 0.269 0.912 0.914
F6 F 0.295 0.188 0.261
F7 F 0.360 0.983 0.424
F8 F 0.395 0.409 0.592
F9 F 0.443 0.356 0.092
F10 F 0.468 0.803 0.753
F11 F 0.544 0.884 0.259
F12 F 0.612 0.655 0.918
F13 F 0.690 0.574 0.417
F14 F 0.746 0.056 0.093
F15 F 0.832 0.114 0.600
F16 F 0.838 0.430 0.253
F17 F 0.922 0.509 0.759
F18 F 0.947 0.231 0.414
# **Crystal system**: triclinic
# **Total energy**: -121.2 eV for the cell shown
# **Relative energy among the computed polymorphs**: 0.0136 eV per atom